[1]
Compound: CrFeRu2
Source: Alexandria via LeMat-Bulk
Functional: PBE
Structure: relaxed

D(E_F)	4.312	states/eV/cell
formation enthalpy at 0 K	0.1125	eV/atom
magnetic moment	0.6	Bohr magnetons per cell

a b c (Å): 4.493 2.674 4.604
angles (deg): 90.00 109.71 90.00
Space group P2/m (No. 10)
Inequivalent atoms, fractional coordinates:
Cr 0.000 0.000 0.000
Fe 0.000 0.500 0.500
Ru 0.500 0.000 0.500
Ru 0.500 0.500 0.000


[2]
Compound: Cr2Fe2Ru
Source: Alexandria via LeMat-Bulk
Functional: PBE
Structure: relaxed

D(E_F)	9.899	states/eV/cell
excess energy over the best structure of this formula in the dataset	0.332	eV/f.u.
formation enthalpy at 0 K	0.2398	eV/atom
magnetic moment	0.0	Bohr magnetons per cell

a b c (Å): 6.767 6.767 2.565
angles (deg): 90.00 90.00 90.00
Space group P4/mbm (No. 127)
Inequivalent atoms, fractional coordinates:
Cr 0.121 0.379 0.000
Fe 0.177 0.677 0.500
Ru 0.000 0.000 0.000


[3]
Compound: Cr2FeRu
Source: Alexandria via LeMat-Bulk
Functional: PBE
Structure: relaxed

D(E_F)	9.320	states/eV/cell
excess energy over the best structure of this formula in the dataset	0.257	eV/f.u.
formation enthalpy at 0 K	0.1792	eV/atom
magnetic moment	5.2	Bohr magnetons per cell

a b c (Å): 2.881 4.224 8.144
angles (deg): 90.00 90.00 90.00
Space group Cmm2 (No. 35)
Inequivalent atoms, fractional coordinates:
Cr 0.000 0.000 0.000
Cr 0.000 0.500 0.233
Fe 0.000 0.000 0.476
Ru 0.000 0.500 0.741


[4]
Compound: CrFeRu2
Source: Alexandria via LeMat-Bulk
Functional: PBE
Structure: relaxed

D(E_F)	10.139	states/eV/cell
formation enthalpy at 0 K	0.1205	eV/atom
magnetic moment	1.5	Bohr magnetons per cell

a b c (Å): 5.357 7.138 2.704
angles (deg): 90.00 90.00 90.00
Space group Cmmm (No. 65)
Inequivalent atoms, fractional coordinates:
Cr 0.000 0.000 0.000
Fe 0.000 0.500 0.000
Ru 0.250 0.250 0.500


[5]
Compound: CrFeRu2
Source: Alexandria via LeMat-Bulk
Functional: PBE
Structure: relaxed

D(E_F)	4.810	states/eV/cell
formation enthalpy at 0 K	0.1837	eV/atom
magnetic moment	3.1	Bohr magnetons per cell

a b c (Å): 2.811 2.811 6.542
angles (deg): 90.00 90.00 90.00
Space group P4mm (No. 99)
Inequivalent atoms, fractional coordinates:
Cr 0.000 0.000 0.000
Fe 0.500 0.500 0.224
Ru 0.000 0.000 0.462
Ru 0.500 0.500 0.764


[6]
Compound: CrFeRu2
Source: Alexandria via LeMat-Bulk
Functional: PBE
Structure: relaxed

D(E_F)	8.261	states/eV/cell
formation enthalpy at 0 K	0.0707	eV/atom
magnetic moment	0.0	Bohr magnetons per cell

a b c (Å): 3.982 2.654 9.496
angles (deg): 90.00 90.00 90.00
Space group Amm2 (No. 38)
Inequivalent atoms, fractional coordinates:
Cr 0.000 0.000 0.000
Fe 0.500 0.000 0.120
Ru 0.000 0.000 0.731
Ru 0.500 0.000 0.387


[7]
Compound: CrFeRu2
Source: Alexandria via LeMat-Bulk
Functional: PBE
Structure: relaxed

D(E_F)	13.622	states/eV/cell
formation enthalpy at 0 K	0.1900	eV/atom
magnetic moment	4.7	Bohr magnetons per cell

a b c (Å): 2.6429 2.6429 25.5260
angles (deg): 90.00 90.00 120.00
Space group R3m (No. 160, hexagonal axes)
Inequivalent atoms, fractional coordinates:
Cr 0.0000 0.0000 0.0000
Fe 0.0000 0.0000 0.2528
Ru 0.0000 0.0000 0.5052
Ru 0.0000 0.0000 0.7475


[8]
Compound: Cr2FeRu
Source: Alexandria via LeMat-Bulk
Functional: PBE
Structure: relaxed

D(E_F)	9.179	states/eV/cell
excess energy over the best structure of this formula in the dataset	0.087	eV/f.u.
formation enthalpy at 0 K	0.1368	eV/atom
magnetic moment	5.9	Bohr magnetons per cell

a b c (Å): 2.927 4.056 8.268
angles (deg): 90.00 90.00 90.00
Space group Immm (No. 71)
Inequivalent atoms, fractional coordinates:
Cr 0.000 0.000 0.244
Fe 0.000 0.500 0.500
Ru 0.000 0.500 0.000


[9]
Compound: CrFeRu2
Source: Alexandria via LeMat-Bulk
Functional: PBE
Structure: relaxed

D(E_F)	4.199	states/eV/cell
formation enthalpy at 0 K	0.1418	eV/atom
magnetic moment	5.3	Bohr magnetons per cell

a b c (Å): 2.946 2.946 6.087
angles (deg): 90.00 90.00 90.00
Space group P4/mmm (No. 123)
Inequivalent atoms, fractional coordinates:
Cr 0.000 0.000 0.000
Fe 0.000 0.000 0.500
Ru 0.500 0.500 0.249


[10]
Compound: CrFeRu2
Source: Alexandria via LeMat-Bulk
Functional: PBE
Structure: relaxed

D(E_F)	4.785	states/eV/cell
formation enthalpy at 0 K	0.0640	eV/atom
magnetic moment	0.8	Bohr magnetons per cell

a b c (Å): 3.770 3.770 3.628
angles (deg): 90.00 90.00 90.00
Space group P4/mmm (No. 123)
Inequivalent atoms, fractional coordinates:
Cr 0.000 0.000 0.000
Fe 0.500 0.500 0.000
Ru 0.000 0.500 0.500


[11]
Compound: Cr2Fe2Ru
Source: Alexandria via LeMat-Bulk
Functional: PBE
Structure: relaxed

D(E_F)	14.575	states/eV/cell
excess energy over the best structure of this formula in the dataset	1.621	eV/f.u.
formation enthalpy at 0 K	0.4975	eV/atom
magnetic moment	1.0	Bohr magnetons per cell

a b c (Å): 3.595 3.595 9.679
angles (deg): 90.00 90.00 90.00
Space group I4/mmm (No. 139)
Inequivalent atoms, fractional coordinates:
Cr 0.000 0.500 0.250
Fe 0.000 0.000 0.109
Ru 0.000 0.000 0.500


[12]
Compound: Cr2FeRu
Source: Alexandria via LeMat-Bulk
Functional: PBE
Structure: relaxed

D(E_F)	5.368	states/eV/cell
excess energy over the best structure of this formula in the dataset	0.203	eV/f.u.
formation enthalpy at 0 K	0.1658	eV/atom
magnetic moment	1.8	Bohr magnetons per cell

a b c (Å): 2.563 3.957 4.954
angles (deg): 90.00 103.83 90.00
Space group Pm (No. 6)
Inequivalent atoms, fractional coordinates:
Cr 0.000 0.000 0.000
Cr 0.135 0.500 0.753
Fe 0.759 0.500 0.231
Ru 0.422 0.000 0.505


VASP energy across the listed records, respectively: -9.05; -8.85; -9.07; -9.04; -8.98; -9.09; -8.97; -9.11; -9.02; -9.10; -8.59; -9.08 eV per atom.